Entry from Alexandria: an optimized crystal structure of Cs2RbPPt (GGA-PBE).

a = 7.309 Å, b = 7.309 Å, c = 4.476 Å
α = 90.00°, β = 90.00°, γ = 90.00°
Fractional positions:
Pt1 0.000 0.000 0.000
Rb1 0.500 0.500 0.500
P1 0.000 0.000 0.500
Cs1 0.500 0.000 0.000
Cs2 0.000 0.500 0.000

ρ = 4.0 g/cm³
energy of formation from the pure elements = -17.0 kJ per mole of atoms
volume = 239 Å³ per cell